Sr2Li2Cd15 (PBE-GGA, relaxed); energy of formation from the pure elements = -3.7 eV/f.u.; DOS at the Fermi energy = 6.8 states/eV/cell; final energy = -1.30 eV/atom; total magnetization = 0.0 μB/f.u.; space-group type = R-3m
1.0
-1.2756 7.0449 -2.9963
2.7830 -1.3974 -7.1090
-6.7703 -1.5724 -3.4534
Sr Li Cd
2 2 15
Direct
0.3397 0.3397 0.3397
0.6603 0.6603 0.6603
0.0992 0.0992 0.0992
0.9008 0.9008 0.9008
0.5000 0.0000 0.0000
0.0000 0.0000 0.5000
0.0000 0.5000 0.0000
0.0000 0.7076 0.2924
0.7076 0.2924 0.0000
0.2924 0.0000 0.7076
0.2924 0.7076 0.0000
0.7076 0.0000 0.2924
0.0000 0.2924 0.7076
0.1534 0.6471 0.6471
0.6471 0.6471 0.1534
0.6471 0.1534 0.6471
0.8466 0.3529 0.3529
0.3529 0.3529 0.8466
0.3529 0.8466 0.3529

---

NiAgPb2 (PBE-GGA, relaxed); energy of formation from the pure elements = 0.7 eV/f.u.; DOS at the Fermi energy = 2.4 states/eV/cell; final energy = -3.83 eV/atom; total magnetization = 0.0 μB/f.u.; space-group type = P4mm; energy above the lowest structure with this stoichiometry = 1.1 kJ/mol of formula units
1.0
3.3399 0.0000 0.0000
0.0000 3.3399 0.0000
0.0000 0.0000 8.0540
Ag Ni Pb
1 1 2
Direct
0.0000 0.0000 0.5500
0.5000 0.5000 0.7247
0.0000 0.0000 0.9244
0.5000 0.5000 0.3008

---

Pr8Ga3TeBr4 (PBE-GGA, relaxed); DOS at the Fermi energy = 8.3 states/eV/cell; final energy = -4.60 eV/atom; energy relative to the elements, uncorrected = -1.028 eV/atom; total magnetization = 0.0 μB/f.u.; space-group type = R-3m
1.0
8.8877 0.0000 0.0000
0.0000 8.7780 -0.0836
-4.4438 -4.4396 6.2878
Pr Ga Te Br
8 3 1 4
Direct
0.2518 0.7275 0.9757
0.2518 0.7275 0.5036
0.2594 0.2782 0.5188
0.7238 0.7275 0.9757
0.2762 0.2725 0.0243
0.7406 0.7218 0.4812
0.7482 0.2725 0.4964
0.7482 0.2725 0.0243
0.5000 0.5000 0.0000
0.5000 0.5000 0.5000
0.0000 0.5000 0.5000
0.0000 0.5000 0.0000
0.5000 0.0000 0.0000
0.5000 0.0000 0.5000
0.0000 0.0000 0.0000
0.0000 0.0000 0.5000

---

KSr2W (PBE-GGA, relaxed); energy of formation from the pure elements = 5.0 eV/f.u.; DOS at the Fermi energy = 4.0 states/eV/cell; final energy = -3.10 eV/atom; total magnetization = 3.5 μB/f.u.; space-group type = Pmm2; energy above the lowest structure with this stoichiometry = 107.4 kJ/mol of formula units
1.0
4.0394 0.0000 0.0000
0.0000 4.7105 0.0000
0.0000 0.0000 9.3884
K Sr W
1 2 1
Direct
0.5000 0.5000 0.7035
0.0000 0.0000 0.0586
0.5000 0.5000 0.3180
0.0000 0.0000 0.4198

---

KRbUF6 (PBE-GGA, relaxed); DOS at the Fermi energy = 15.1 states/eV/cell; final energy = -6.04 eV/atom; energy relative to the elements, uncorrected = -3.308 eV/atom; total magnetization = 2.0 μB/f.u.; space-group type = P-31c
1.0
-1.1832 -1.6397 -6.4327
-3.3465 -3.1293 4.9473
-7.3995 7.1739 -0.4676
K Rb U F
2 2 2 12
Direct
0.3333 0.6667 0.2500
0.6667 0.3333 0.7500
0.0000 0.0000 0.0000
0.0000 0.0000 0.5000
0.6667 0.3333 0.2500
0.3333 0.6667 0.7500
0.6617 0.6061 0.1372
0.9444 0.3383 0.1372
0.3383 0.9444 0.6372
0.0556 0.6617 0.8628
0.3939 0.3383 0.3628
0.9444 0.6061 0.3628
0.6061 0.9444 0.8628
0.6617 0.0556 0.3628
0.0556 0.3939 0.6372
0.3939 0.0556 0.1372
0.6061 0.6617 0.6372
0.3383 0.3939 0.8628

---

TaNbAl2 (PBE-GGA, relaxed); energy of formation from the pure elements = -1.0 eV/f.u.; DOS at the Fermi energy = 2.1 states/eV/cell; final energy = -7.61 eV/atom; total magnetization = 0.0 μB/f.u.; space-group type = P4/mmm; energy above the lowest structure with this stoichiometry = 0.0 kJ/mol of formula units
1.0
4.1947 0.0000 0.0000
0.0000 4.0074 0.0000
0.0000 0.0000 4.0074
Nb Al Ta
1 2 1
Direct
0.5000 0.0000 0.0000
0.0000 0.0000 0.5000
0.0000 0.5000 0.0000
0.5000 0.5000 0.5000

---

ThTl2CuS4 (PBE-GGA, relaxed); DOS at the Fermi energy = 6.2 states/eV/cell; final energy = -4.85 eV/atom; energy relative to the elements, uncorrected = -0.758 eV/atom; total magnetization = 0.0 μB/f.u.; space-group type = C2/c
1.0
-6.8522 -2.2811 4.4554
3.0198 -7.9060 -0.6181
4.8980 5.7768 3.1256
Th Tl Cu S
2 4 2 8
Direct
0.0000 0.5000 0.0000
0.0000 0.5000 0.5000
0.5000 0.0000 0.0000
0.5000 0.0000 0.5000
0.0000 0.0000 0.5000
0.5000 0.5000 0.0000
0.5000 0.5000 0.5000
0.0000 0.0000 0.0000
0.2274 0.7098 0.9655
0.7902 0.2726 0.5345
0.2098 0.7274 0.4655
0.7726 0.2902 0.0345
0.8190 0.7805 0.9946
0.7195 0.6810 0.5054
0.2805 0.3190 0.4946
0.1810 0.2195 0.0054

---

CuRe3Te (PBE-GGA, relaxed); DOS at the Fermi energy = 5.8 states/eV/cell; final energy = -6.88 eV/atom; energy relative to the elements, uncorrected = 2.039 eV/atom; total magnetization = 2.2 μB/f.u.; space-group type = Pm-3m; energy above the lowest structure with this stoichiometry = 0.0 kJ/mol of formula units
1.0
-1.4737 -1.1781 4.1287
1.2823 -4.2867 -0.7654
4.0975 0.9178 1.7244
Re Te Cu
3 1 1
Direct
0.0000 0.5000 0.0000
0.0000 0.0000 0.5000
0.5000 0.0000 0.0000
0.5000 0.5000 0.5000
0.0000 0.0000 0.0000

---

TbTlCd2 (PBE-GGA, relaxed); energy of formation from the pure elements = -1.1 eV/f.u.; DOS at the Fermi energy = 2.9 states/eV/cell; final energy = -2.47 eV/atom; total magnetization = 0.0 μB/f.u.; space-group type = P4/mmm; energy above the lowest structure with this stoichiometry = 0.0 kJ/mol of formula units
1.0
-2.8913 -3.6386 -1.5229
-0.2193 -1.5964 4.2307
-3.6448 2.5695 0.7806
Tl Tb Cd
1 1 2
Direct
0.5000 0.0000 0.0000
0.5000 0.5000 0.5000
0.0000 0.0000 0.5000
0.0000 0.5000 0.0000

---

Y2CrAs (PBE-GGA, relaxed); energy of formation from the pure elements = -1.1 eV/f.u.; DOS at the Fermi energy = 2.5 states/eV/cell; final energy = -7.09 eV/atom; total magnetization = 3.0 μB/f.u.; space-group type = R3m
1.0
-1.0299 -5.5361 -3.6269
-1.2195 -6.5649 0.5271
-4.5741 -4.6967 -1.3720
As Cr Y
1 1 2
Direct
0.4440 0.4440 0.4440
0.8043 0.8043 0.8043
0.0296 0.0296 0.0296
0.2222 0.2222 0.2222

---

LiCuSb2I (PBE-GGA, relaxed); DOS at the Fermi energy = 4.1 states/eV/cell; final energy = -2.65 eV/atom; energy relative to the elements, uncorrected = 0.513 eV/atom; total magnetization = 0.0 μB/f.u.; space-group type = P4/mmm; energy above the lowest structure with this stoichiometry = 162.1 kJ/mol of formula units
1.0
5.2398 0.0000 0.0000
0.0000 4.5301 0.0000
0.0000 0.0000 5.2398
I Sb Cu Li
1 2 1 1
Direct
0.5000 0.5000 0.5000
0.0000 0.0000 0.5000
0.5000 0.0000 0.0000
0.0000 0.5000 0.0000
0.0000 0.0000 0.0000

---

Pb4Cl5F2 (PBE-GGA, relaxed); DOS at the Fermi energy = 2.1 states/eV/cell; final energy = -3.88 eV/atom; energy relative to the elements, uncorrected = -1.347 eV/atom; total magnetization = 0.0 μB/f.u.; space-group type = C2/m
1.0
4.4214 0.0000 0.0000
0.0000 7.5542 -0.9431
-2.2107 -3.5169 9.7111
Pb Cl F
4 5 2
Direct
0.6926 0.6843 0.3853
0.9879 0.7122 0.9758
0.3074 0.3157 0.6147
0.0121 0.2878 0.0242
0.1592 0.8893 0.3184
0.8408 0.1107 0.6816
0.1699 0.4070 0.3398
0.5000 0.0000 0.0000
0.8301 0.5930 0.6602
0.5685 0.4828 0.1371
0.4315 0.5172 0.8629

---

K2RbSbF6 (PBE-GGA, relaxed); DOS at the Fermi energy = 0.0 states/eV/cell; final energy = -4.40 eV/atom; energy relative to the elements, uncorrected = -2.550 eV/atom; total magnetization = 0.0 μB/f.u.; space-group type = Fm-3m; energy above the lowest structure with this stoichiometry = 98.4 kJ/mol of formula units
1.0
0.0000 4.8399 4.8399
4.8399 0.0000 4.8399
4.8399 4.8399 0.0000
K Rb Sb F
2 1 1 6
Direct
0.7500 0.7500 0.7500
0.2500 0.2500 0.2500
0.5000 0.5000 0.5000
0.0000 0.0000 0.0000
0.2268 0.7732 0.2268
0.7732 0.2268 0.2268
0.7732 0.2268 0.7732
0.2268 0.2268 0.7732
0.7732 0.7732 0.2268
0.2268 0.7732 0.7732

---

Tb8Er2Sc3 (PBE-GGA, relaxed); energy of formation from the pure elements = 2.5 eV/f.u.; DOS at the Fermi energy = 19.9 states/eV/cell; final energy = -4.82 eV/atom; total magnetization = 0.0 μB/f.u.; space-group type = C2/m; energy above the lowest structure with this stoichiometry = 0.0 kJ/mol of formula units
1.0
5.7638 0.3247 1.3105
1.8826 8.2496 1.6656
0.8038 -0.4785 8.5732
Tb Er Sc
8 2 3
Direct
0.2343 0.5878 0.5878
0.7657 0.4122 0.4122
0.8826 0.1362 0.1362
0.1174 0.8638 0.8638
0.6464 0.6121 0.0773
0.6464 0.0773 0.6121
0.3536 0.9227 0.3879
0.3536 0.3879 0.9227
0.3338 0.3195 0.3195
0.6662 0.6805 0.6805
0.5000 0.0000 0.0000
0.0000 0.2690 0.7310
0.0000 0.7310 0.2690

---

PmLuNiAu (PBE-GGA, relaxed); energy of formation from the pure elements = -2.2 eV/f.u.; DOS at the Fermi energy = 2.9 states/eV/cell; final energy = -5.14 eV/atom; total magnetization = 0.0 μB/f.u.; space-group type = F-43m
1.0
4.9769 0.0000 0.0000
2.4884 4.3101 0.0000
2.4884 1.4367 4.0636
Ni Lu Au Pm
1 1 1 1
Direct
0.2500 0.2500 0.2500
0.5000 0.5000 0.5000
0.7500 0.7500 0.7500
0.0000 0.0000 0.0000